## SrSmPa2As4 (GGA-PBE)

Data for a relaxed SrSmPa2As4 crystal.

As for the calculated formation energy: -1.17 eV per atom.

Lattice parameters (Å, degrees): 5.9226 5.9226 7.2827 113.99 113.99 90.00
With the nearest neighbours (Å) after each atom.
Sites, in units of the cell vectors:
Pa 0.0000 0.0000 0.0000  6 As 2.86-2.96
As 0.2403 0.2403 0.4806  3 Pa 2.86-2.96, 2 Sm 2.96, 1 Sr 3.09
Sr 0.5000 0.5000 0.0000  6 As 2.96-3.09
Pa 0.2500 0.7500 0.5000  6 As 2.91-2.96
Sm 0.7500 0.2500 0.5000  6 As 2.96-3.05
As 0.7597 0.7597 0.5194  3 Pa 2.86-2.96, 2 Sm 2.96, 1 Sr 3.09
As 0.4939 0.9939 0.9877  3 Pa 2.91-2.96, 2 Sr 2.96, 1 Sm 3.05
As 0.0061 0.5061 0.0123  3 Pa 2.91-2.96, 2 Sr 2.96, 1 Sm 3.05

***

## Tb2Sm3PaAs6 (GGA-PBE)

Data for a relaxed Tb2Sm3PaAs6 crystal.

As for the calculated formation energy: -1.47 eV per atom.

Lattice parameters (Å, degrees): 7.2063 7.2063 7.2187 99.56 99.56 120.00
With the nearest neighbours (Å) after each atom.
Sites, in units of the cell vectors:
As 0.0806 0.4084 0.2423  1 Pa 2.88, 2 Tb 2.93, 3 Sm 2.96-2.99
Pa 0.0000 0.0000 0.0000  6 As 2.88
Sm 0.5000 0.5000 0.5000  6 As 2.96-3.01
As 0.4084 0.0806 0.2423  1 Pa 2.88, 2 Tb 2.93, 3 Sm 2.96-2.99
Sm 0.1683 0.8317 0.5000  6 As 2.96-2.99
As 0.7534 0.7534 0.2420  1 Pa 2.88, 2 Tb 2.93, 3 Sm 2.97-3.01
As 0.9194 0.5916 0.7577  1 Pa 2.88, 2 Tb 2.93, 3 Sm 2.96-2.99
Tb 0.3338 0.6662 0.0000  6 As 2.93
Sm 0.8317 0.1683 0.5000  6 As 2.96-2.99
As 0.5916 0.9194 0.7577  1 Pa 2.88, 2 Tb 2.93, 3 Sm 2.96-2.99
As 0.2466 0.2466 0.7580  1 Pa 2.88, 2 Tb 2.93, 3 Sm 2.97-3.01
Tb 0.6662 0.3338 0.0000  6 As 2.93

***

## TbSmPa2As4 (GGA-PBE)

Data for a relaxed TbSmPa2As4 crystal.

As for the calculated formation energy: -1.29 eV per atom.

Lattice parameters (Å, degrees): 4.1292 7.1521 7.1517 70.53 90.00 90.00
With the nearest neighbours (Å) after each atom.
Sites, in units of the cell vectors:
Pa 0.0000 0.0000 0.0000  6 As 2.90
Pa 0.5000 0.0000 0.5000  6 As 2.88
As 0.5000 0.7558 0.2502  3 Pa 2.88-2.90, 2 Tb 2.94, 1 Sm 2.95
As 0.0000 0.2425 0.2547  3 Pa 2.88-2.90, 1 Tb 2.94, 2 Sm 2.96
As 0.0000 0.7575 0.7453  3 Pa 2.88-2.90, 1 Tb 2.94, 2 Sm 2.96
As 0.5000 0.2442 0.7498  3 Pa 2.88-2.90, 2 Tb 2.94, 1 Sm 2.95
Sm 0.5000 0.5000 0.0000  6 As 2.95-2.96
Tb 0.0000 0.5000 0.5000  6 As 2.94

***

## TbSm2PaAs4 (GGA-PBE)

Data for a relaxed TbSm2PaAs4 crystal.

As for the calculated formation energy: -1.42 eV per atom.

Lattice parameters (Å, degrees): 4.1647 7.1878 7.2096 109.44 90.00 90.00
With the nearest neighbours (Å) after each atom.
Sites, in units of the cell vectors:
Tb 0.0000 0.0000 0.0000  6 As 2.92
Sm 0.0000 0.5000 0.5000  6 As 2.96
As 0.5000 0.7482 0.7584  1 Pa 2.88, 2 Tb 2.92, 3 Sm 2.96-3.00
As 0.5000 0.2518 0.2416  1 Pa 2.88, 2 Tb 2.92, 3 Sm 2.96-3.00
As 0.0000 0.2556 0.7589  2 Pa 2.90, 1 Tb 2.92, 3 Sm 2.96-2.99
As 0.0000 0.7444 0.2411  2 Pa 2.90, 1 Tb 2.92, 3 Sm 2.96-2.99
Sm 0.5000 0.0000 0.5000  6 As 2.99-3.00
Pa 0.5000 0.5000 0.0000  6 As 2.88-2.90

***

## SmPaTeAs (GGA-PBE)

Data for a relaxed SmPaTeAs crystal.

Its uncorrected formation energy is -1.14 eV per atom.

Lattice parameters (Å, degrees): 4.1263 4.1266 7.9282 90.00 105.08 120.00
With the nearest neighbours (Å) after each atom.
Sites, in units of the cell vectors:
Sm 0.4916 0.1437 0.6506  3 As 2.92, 3 Te 3.24
As 0.3065 0.5512 0.8730  3 Pa 2.87, 3 Sm 2.92
Te 0.9650 0.3805 0.3606  3 Pa 3.16, 3 Sm 3.24
Pa 0.1149 0.9554 0.0855  3 As 2.87, 3 Te 3.16

***

## Sm3Th2PaAs6 (GGA-PBE)

Data for a relaxed Sm3Th2PaAs6 crystal.

As for the calculated formation energy: -1.41 eV per atom.

Lattice parameters (Å, degrees): 7.2938 7.2938 7.2709 99.62 99.62 120.01
With the nearest neighbours (Å) after each atom.
Sites, in units of the cell vectors:
Sm 0.5000 0.5000 0.5000  6 As 2.96-3.04
As 0.0821 0.4073 0.2469  1 Pa 2.91, 3 Sm 2.96-3.02, 2 Th 2.99
As 0.5927 0.9179 0.7531  1 Pa 2.91, 3 Sm 2.96-3.02, 2 Th 2.99
Th 0.3338 0.6662 0.0000  6 As 2.99
As 0.7579 0.7579 0.2471  1 Pa 2.91, 3 Sm 2.98-3.04, 2 Th 2.99
Sm 0.1688 0.8312 0.5000  6 As 2.96-3.02
Th 0.6662 0.3338 0.0000  6 As 2.99
Pa 0.0000 0.0000 0.0000  6 As 2.91
As 0.2421 0.2421 0.7529  1 Pa 2.91, 3 Sm 2.98-3.04, 2 Th 2.99
As 0.9179 0.5927 0.7531  1 Pa 2.91, 3 Sm 2.96-3.02, 2 Th 2.99
Sm 0.8312 0.1688 0.5000  6 As 2.96-3.02
As 0.4073 0.0821 0.2469  1 Pa 2.91, 3 Sm 2.96-3.02, 2 Th 2.99

***

## Sm2ThPaAs4 (GGA-PBE)

Data for a relaxed Sm2ThPaAs4 crystal.

As for the calculated formation energy: -1.38 eV per atom.

Lattice parameters (Å, degrees): 4.1955 7.2653 7.2484 109.49 90.00 90.00
With the nearest neighbours (Å) after each atom.
Sites, in units of the cell vectors:
As 0.5000 0.7585 0.7564  2 Pa 2.92, 3 Sm 2.95-3.01, 1 Th 2.98
Pa 0.0000 0.0000 0.0000  6 As 2.91-2.92
Sm 0.5000 0.0000 0.5000  6 As 2.95-2.96
Sm 0.0000 0.5000 0.5000  6 As 3.01-3.02
As 0.5000 0.2415 0.2436  2 Pa 2.92, 3 Sm 2.95-3.01, 1 Th 2.98
Th 0.5000 0.5000 0.0000  6 As 2.97-2.98
As 0.0000 0.7561 0.2468  1 Pa 2.91, 3 Sm 2.96-3.02, 2 Th 2.97
As 0.0000 0.2439 0.7532  1 Pa 2.91, 3 Sm 2.96-3.02, 2 Th 2.97

***

## SmTh2PaAs4 (GGA-PBE)

Data for a relaxed SmTh2PaAs4 crystal.

As for the calculated formation energy: -1.34 eV per atom.

Lattice parameters (Å, degrees): 4.2044 7.2721 7.2745 109.50 90.00 90.00
With the nearest neighbours (Å) after each atom.
Sites, in units of the cell vectors:
As 0.0000 0.7428 0.2399  2 Pa 2.92, 1 Sm 2.95, 3 Th 2.99-3.02
Sm 0.0000 0.0000 0.0000  6 As 2.95-2.96
Pa 0.5000 0.5000 0.0000  6 As 2.91-2.92
Th 0.0000 0.5000 0.5000  6 As 2.98-2.99
Th 0.5000 0.0000 0.5000  6 As 3.02-3.03
As 0.5000 0.7468 0.7566  1 Pa 2.91, 2 Sm 2.96, 3 Th 2.98-3.03
As 0.5000 0.2532 0.2434  1 Pa 2.91, 2 Sm 2.96, 3 Th 2.98-3.03
As 0.0000 0.2572 0.7601  2 Pa 2.92, 1 Sm 2.95, 3 Th 2.99-3.02

***

## SmTm2PaAs4 (GGA-PBE)

Data for a relaxed SmTm2PaAs4 crystal.

As for the calculated formation energy: -1.39 eV per atom.

Lattice parameters (Å, degrees): 4.1116 7.0787 7.1209 70.51 90.00 90.00
With the nearest neighbours (Å) after each atom.
Sites, in units of the cell vectors:
Tm 0.5000 0.0000 0.5000  6 As 2.86
As 0.5000 0.2460 0.7473  3 Tm 2.86-2.90, 2 Pa 2.91, 1 Sm 2.94
Tm 0.0000 0.0000 0.0000  6 As 2.90-2.91
As 0.0000 0.7554 0.7420  3 Tm 2.86-2.91, 1 Pa 2.88, 2 Sm 2.94
As 0.5000 0.7540 0.2527  3 Tm 2.86-2.90, 2 Pa 2.91, 1 Sm 2.94
Sm 0.5000 0.5000 0.0000  6 As 2.94
As 0.0000 0.2446 0.2580  3 Tm 2.86-2.91, 1 Pa 2.88, 2 Sm 2.94
Pa 0.0000 0.5000 0.5000  6 As 2.88-2.91

***

## Sm4Tm3PaAs8 (GGA-PBE)

Data for a relaxed Sm4Tm3PaAs8 crystal.

As for the calculated formation energy: -1.47 eV per atom.

Lattice parameters (Å, degrees): 8.2677 8.2867 8.2675 119.93 120.00 90.00
With the nearest neighbours (Å) after each atom.
Sites, in units of the cell vectors:
As 0.7481 0.7389 0.9935  1 Pa 2.87, 2 Tm 2.89, 3 Sm 2.97-2.98
Sm 0.0000 0.0000 0.5000  6 As 2.97
As 0.7545 0.2611 0.5091  1 Pa 2.87, 2 Tm 2.89, 3 Sm 2.97-2.98
Tm 0.5000 0.5000 0.5000  6 As 2.89
As 0.2533 0.2599 0.5067  3 Tm 2.89, 3 Sm 2.97
Tm 0.5000 0.5000 0.0000  6 As 2.89
Sm 0.0000 0.0000 0.0000  6 As 2.97
Pa 0.0000 0.5000 0.0000  6 As 2.87
Sm 0.5000 0.0000 0.0000  6 As 2.98
As 0.7546 0.2611 0.0065  1 Pa 2.87, 2 Tm 2.89, 3 Sm 2.97-2.98
Tm 0.0000 0.5000 0.5000  6 As 2.89
As 0.2454 0.7389 0.9935  1 Pa 2.87, 2 Tm 2.89, 3 Sm 2.97-2.98
As 0.2455 0.7389 0.4909  1 Pa 2.87, 2 Tm 2.89, 3 Sm 2.97-2.98
Sm 0.5000 0.0000 0.5000  6 As 2.97
As 0.7467 0.7401 0.4933  3 Tm 2.89, 3 Sm 2.97
As 0.2519 0.2611 0.0065  1 Pa 2.87, 2 Tm 2.89, 3 Sm 2.97-2.98

***

## SmTmPa2As4 (GGA-PBE)

Data for a relaxed SmTmPa2As4 crystal.

As for the calculated formation energy: -1.27 eV per atom.

Lattice parameters (Å, degrees): 4.1122 7.1163 7.1236 70.52 90.00 90.00
With the nearest neighbours (Å) after each atom.
Sites, in units of the cell vectors:
Pa 0.5000 0.0000 0.5000  6 As 2.87
Pa 0.0000 0.0000 0.0000  6 As 2.91
As 0.0000 0.2449 0.2562  3 Pa 2.87-2.91, 1 Tm 2.90, 2 Sm 2.94
As 0.5000 0.2483 0.7462  3 Pa 2.87-2.91, 2 Tm 2.90, 1 Sm 2.94
As 0.0000 0.7551 0.7438  3 Pa 2.87-2.91, 1 Tm 2.90, 2 Sm 2.94
Tm 0.0000 0.5000 0.5000  6 As 2.90
As 0.5000 0.7517 0.2538  3 Pa 2.87-2.91, 2 Tm 2.90, 1 Sm 2.94
Sm 0.5000 0.5000 0.0000  6 As 2.94

***

## SmUPa2As4 (GGA-PBE)

Data for a relaxed SmUPa2As4 crystal.

As for the calculated formation energy: -1.08 eV per atom.

Lattice parameters (Å, degrees): 4.1079 7.1669 7.1164 109.31 90.00 90.00
With the nearest neighbours (Å) after each atom.
Sites, in units of the cell vectors:
As 0.0000 0.7483 0.2524  3 Pa 2.89-2.91, 2 U 2.92, 1 Sm 2.94
Pa 0.0000 0.5000 0.5000  6 As 2.88-2.89
Sm 0.0000 0.0000 0.0000  6 As 2.94
As 0.5000 0.7451 0.7447  3 Pa 2.88-2.91, 1 U 2.91, 2 Sm 2.94
Pa 0.5000 0.0000 0.5000  6 As 2.91
As 0.5000 0.2549 0.2553  3 Pa 2.88-2.91, 1 U 2.91, 2 Sm 2.94
U 0.5000 0.5000 0.0000  6 As 2.91-2.92
As 0.0000 0.2517 0.7476  3 Pa 2.89-2.91, 2 U 2.92, 1 Sm 2.94

***

no.,M_tot (μB per cell)
1,1.17
2,0.00
3,0.00
4,0.00
5,1.01
6,0.00
7,0.00
8,0.00
9,0.39
10,0.00
11,0.00
12,3.07